(1)
First-principles (PBE-GGA) data for crystalline BePt3 at its relaxed geometry, as listed in the Alexandria database.

The structure in extended XYZ format:
```
4
Lattice="-0.750 -2.859 3.184 2.777 -3.271 0.680 2.514 -0.014 3.543" Properties=species:S:1:pos:R:3 pbc="T T T"
Be 0.000 0.000 0.000
Pt 1.135 -1.536 1.852
Pt 2.270 -3.072 3.704
Pt 3.405 -4.608 5.556
```

Results
For the calculated formation energy, the calculation gives -0.408 eV/f.u. The final energy is -22.256 eV for the cell shown.

---

(2)
First-principles (PBE-GGA) data for crystalline Tb2Ga3Cu4Pd at its relaxed geometry, as listed in the Alexandria database.

The structure in extended XYZ format:
```
10
Lattice="3.980 0.000 0.000 0.000 3.980 0.000 0.000 0.000 10.943" Properties=species:S:1:pos:R:3 pbc="T T T"
Tb 1.990 0.000 2.769
Tb 0.000 1.990 8.174
Ga 0.000 0.000 5.472
Ga 1.990 0.000 9.491
Ga 0.000 1.990 1.453
Cu 1.990 1.990 0.000
Cu 0.000 0.000 0.000
Cu 1.990 0.000 7.087
Cu 0.000 1.990 3.857
Pd 1.990 1.990 5.472
```

Results
For the calculated formation energy, the calculation gives -4.265 eV/f.u. The final energy is -44.184 eV for the cell shown.

---

(3)
First-principles (PBE-GGA) data for crystalline NaDy2Rh at its relaxed geometry, as listed in the Alexandria database.

The structure in extended XYZ format:
```
4
Lattice="3.931 0.000 0.000 1.965 3.404 0.000 1.965 1.135 10.370" Properties=species:S:1:pos:R:3 pbc="T T T"
Na 0.000 0.000 0.000
Rh 3.931 2.270 5.185
Dy 1.965 1.135 6.693
Dy 5.896 3.404 3.677
```

Results
For the calculated formation energy, the calculation gives -1.163 eV/f.u. The final energy is -19.037 eV for the cell shown.

---

(4)
First-principles (PBE-GGA) data for crystalline Sm2Al3Tc at its relaxed geometry, as listed in the Alexandria database.

The structure in extended XYZ format:
```
12
Lattice="-1.487 -4.671 -2.732 -0.298 0.190 5.600 -8.430 3.006 -0.551" Properties=species:S:1:pos:R:3 pbc="T T T"
Sm -4.869 -1.703 -0.202
Sm -5.346 0.228 2.519
Sm -8.688 1.420 2.300
Sm -1.527 -2.895 0.017
Al -2.442 0.063 1.222
Al -6.848 0.785 -0.391
Al -7.773 -1.537 1.095
Al -2.597 0.161 4.125
Al -7.618 -1.636 -1.807
Al -3.367 -2.260 2.709
Tc -4.215 1.503 -0.276
Tc 0.000 0.000 0.000
```

Results
For the calculated formation energy, the calculation gives -2.782 eV/f.u. Its energy above the lowest structure with this stoichiometry is 0 meV/atom. The final energy is -67.628 eV for the cell shown.

---

(5)
First-principles (PBE-GGA) data for crystalline LuPuPa2 at its relaxed geometry, as listed in the Alexandria database.

The structure in extended XYZ format:
```
4
Lattice="-3.208 -3.312 -0.818 1.888 -0.800 -4.167 2.807 -3.184 1.883" Properties=species:S:1:pos:R:3 pbc="T T T"
Pa 1.404 -1.592 0.942
Pa 0.944 -0.400 -2.083
Lu -1.604 -1.656 -0.409
Pu 0.744 -3.648 -1.551
```

Results
For the calculated formation energy, the calculation gives 0.652 eV/f.u. Its energy above the lowest structure with this stoichiometry is 0 meV/atom. The final energy is -37.192 eV for the cell shown.

---

(6)
First-principles (PBE-GGA) data for crystalline BaSrCa2Tl4 at its relaxed geometry, as listed in the Alexandria database.

The structure in extended XYZ format:
```
8
Lattice="5.739 0.000 0.000 2.870 4.970 0.000 2.870 1.657 9.354" Properties=species:S:1:pos:R:3 pbc="T T T"
Ba 0.000 0.000 0.000
Sr 5.739 3.313 4.677
Ca 8.609 4.970 6.986
Ca 2.870 1.657 2.368
Tl 5.739 3.313 8.134
Tl 8.609 4.970 3.565
Tl 2.870 1.657 5.788
Tl 5.739 3.313 1.219
```

Results
For the calculated formation energy, the calculation gives -3.340 eV/f.u. The final energy is -20.412 eV for the cell shown.

---

(7)
First-principles (PBE-GGA) data for crystalline BaTlNi3 at its relaxed geometry, as listed in the Alexandria database.

The structure in extended XYZ format:
```
5
Lattice="5.017 0.000 0.000 0.000 5.017 0.000 0.000 0.000 5.017" Properties=species:S:1:pos:R:3 pbc="T T T"
Ni 0.000 2.508 0.000
Ni 0.000 0.000 2.508
Ni 2.508 0.000 0.000
Tl 2.508 2.508 2.508
Ba 0.000 0.000 0.000
```

Results
For the calculated formation energy, the calculation gives 7.618 eV/f.u. Its energy above the lowest structure with this stoichiometry is 918 meV/atom. The final energy is -14.015 eV for the cell shown.

---

(8)
First-principles (PBE-GGA) data for crystalline CsAl4S7 at its relaxed geometry, as listed in the Alexandria database.

The structure in extended XYZ format:
```
24
Lattice="-5.955 0.386 1.189 1.265 -0.239 6.413 1.066 15.323 0.361" Properties=species:S:1:pos:R:3 pbc="T T T"
Cs -1.478 7.666 5.933
Cs 0.201 -0.044 1.275
Al -1.776 13.492 5.302
Al 0.848 3.680 5.439
Al -2.940 3.995 1.932
Al 0.511 9.522 2.477
Al 0.246 5.717 2.387
Al -2.578 1.974 5.031
Al 1.379 11.311 5.619
Al -2.405 11.688 2.113
S -4.733 2.086 5.670
S -1.985 5.889 2.624
S -1.523 13.491 3.081
S -4.363 9.823 5.621
S -4.633 5.947 5.530
S -2.320 2.043 2.811
S -0.854 11.575 6.232
S -4.717 11.719 2.407
S -5.235 4.271 2.232
S -1.402 3.699 6.046
S -1.838 -0.010 5.863
S -5.104 8.000 2.476
S -3.928 13.650 5.942
S -1.724 9.649 2.713
```

Results
The final energy is -114.689 eV for the cell shown. The formation energy (no corrections) is -1.0524 eV/atom.

---

(9)
First-principles (PBE-GGA) data for crystalline Cd2Bi2Pb at its relaxed geometry, as listed in the Alexandria database.

The structure in extended XYZ format:
```
10
Lattice="-3.325 5.682 -4.751 -6.624 -2.977 3.629 5.652 1.865 4.153" Properties=species:S:1:pos:R:3 pbc="T T T"
Cd -3.221 3.493 0.991
Cd 2.228 3.264 2.901
Cd -6.525 1.305 0.129
Cd -1.076 1.077 2.039
Bi -4.032 0.584 1.672
Bi -2.561 4.444 -2.064
Bi -1.736 0.126 5.094
Bi -0.265 3.986 1.358
Pb -4.896 -1.683 3.865
Pb 0.599 6.252 -0.836
```

Results
For the calculated formation energy, the calculation gives 0.509 eV/f.u. Its energy above the lowest structure with this stoichiometry is 53 meV/atom. The final energy is -25.582 eV for the cell shown.

---

(10)
First-principles (PBE-GGA) data for crystalline MnCoCl at its relaxed geometry, as listed in the Alexandria database.

The structure in extended XYZ format:
```
3
Lattice="3.963 0.000 0.000 -1.982 3.432 0.000 0.000 0.000 3.055" Properties=species:S:1:pos:R:3 pbc="T T T"
Cl 0.000 0.000 0.510
Co 1.982 1.144 0.509
Mn 0.000 2.288 2.036
```

Results
The final energy is -16.873 eV for the cell shown. The formation energy (no corrections) is 0.4162 eV/atom.

---

(11)
First-principles (PBE-GGA) data for crystalline CdAg4Pd at its relaxed geometry, as listed in the Alexandria database.

The structure in extended XYZ format:
```
6
Lattice="-3.437 -2.254 0.598 3.070 -1.812 -3.606 2.110 -1.856 5.131" Properties=species:S:1:pos:R:3 pbc="T T T"
Cd 1.055 -0.928 2.566
Ag 1.238 -2.247 -1.357
Ag 0.505 -3.674 3.480
Ag 2.326 -3.221 1.228
Ag -0.583 -2.700 0.895
Pd 0.000 0.000 0.000
```

Results
For the calculated formation energy, the calculation gives -0.452 eV/f.u. Its energy above the lowest structure with this stoichiometry is 0 meV/atom. The final energy is -17.965 eV for the cell shown.

---

(12)
First-principles (PBE-GGA) data for crystalline CrRhBr2 at its relaxed geometry, as listed in the Alexandria database.

The structure in extended XYZ format:
```
4
Lattice="-6.806 1.294 1.286 -5.837 -0.587 3.903 0.452 3.596 2.417" Properties=species:S:1:pos:R:3 pbc="T T T"
Br -1.013 3.490 2.883
Br -4.630 2.257 3.336
Cr -9.143 3.228 5.704
Rh -3.048 1.076 1.901
```

Results
Its energy above the lowest structure with this stoichiometry is 62 meV/atom. The final energy is -20.354 eV for the cell shown. The formation energy (no corrections) is -0.0084 eV/atom.

---

(13)
First-principles (PBE-GGA) data for crystalline TePH at its relaxed geometry, as listed in the Alexandria database.

The structure in extended XYZ format:
```
6
Lattice="-0.462 -2.446 2.971 3.544 -4.671 -2.047 5.179 1.497 3.658" Properties=species:S:1:pos:R:3 pbc="T T T"
Te 3.493 -1.074 1.709
Te 2.337 -4.382 0.441
P 6.390 -3.516 0.646
P 8.321 -2.951 1.636
H 2.098 -1.738 2.386
H 6.290 -5.243 2.430
```

Results
Its energy above the lowest structure with this stoichiometry is 122 meV/atom. The final energy is -22.736 eV for the cell shown.

---

(14)
First-principles (PBE-GGA) data for crystalline Nb2InPd at its relaxed geometry, as listed in the Alexandria database.

The structure in extended XYZ format:
```
8
Lattice="3.851 0.000 0.000 0.000 3.851 0.000 1.925 1.925 10.495" Properties=species:S:1:pos:R:3 pbc="T T T"
Nb 2.898 0.963 2.624
Nb 0.953 2.888 2.624
Nb 2.888 2.878 7.871
Nb 4.813 4.823 7.871
Pd 1.925 1.925 0.000
Pd 1.925 3.851 5.247
In 0.000 0.000 0.000
In 3.851 1.925 5.247
```

Results
For the calculated formation energy, the calculation gives 1.088 eV/f.u. The final energy is -53.966 eV for the cell shown.

---

(15)
First-principles (PBE-GGA) data for crystalline Ca2AlMo at its relaxed geometry, as listed in the Alexandria database.

The structure in extended XYZ format:
```
4
Lattice="-0.653 1.475 -5.360 1.816 -0.498 -5.271 -3.118 -3.986 -1.846" Properties=species:S:1:pos:R:3 pbc="T T T"
Mo -1.466 -2.257 -9.357
Ca -3.098 -3.962 -1.853
Ca -0.997 -1.529 -6.231
Al -0.489 -0.752 -3.119
```

Results
For the calculated formation energy, the calculation gives 2.380 eV/f.u. The final energy is -16.197 eV for the cell shown.

---

(16)
First-principles (PBE-GGA) data for crystalline FeNiOsW at its relaxed geometry, as listed in the Alexandria database.

The structure in extended XYZ format:
```
4
Lattice="4.237 0.000 0.000 2.119 3.670 0.000 2.119 1.223 3.460" Properties=species:S:1:pos:R:3 pbc="T T T"
Ni 0.000 0.000 0.000
Os 2.119 1.223 0.865
Fe 6.356 3.670 2.595
W 4.237 2.446 1.730
```

Results
For the calculated formation energy, the calculation gives 0.660 eV/f.u. The final energy is -37.767 eV for the cell shown.

---

(17)
First-principles (PBE-GGA) data for crystalline TiBe5Ir6 at its relaxed geometry, as listed in the Alexandria database.

The structure in extended XYZ format:
```
12
Lattice="-3.091 1.847 1.877 -0.463 -4.460 3.628 5.442 1.736 2.829" Properties=species:S:1:pos:R:3 pbc="T T T"
Be -0.499 -0.438 3.983
Be 2.160 -2.669 6.163
Be -0.231 -2.230 1.814
Be -0.272 1.793 2.170
Be 2.388 -0.438 4.351
Ir 0.661 -0.654 6.107
Ir 0.888 1.527 4.334
Ir 3.775 1.484 4.724
Ir -1.886 -2.360 3.609
Ir 1.001 -2.403 4.000
Ir 1.227 -0.223 2.226
Ti 0.000 0.000 0.000
```

Results
For the calculated formation energy, the calculation gives -7.671 eV/f.u. The final energy is -87.363 eV for the cell shown.

---

(18)
First-principles (PBE-GGA) data for crystalline LiDySc2Pd4 at its relaxed geometry, as listed in the Alexandria database.

The structure in extended XYZ format:
```
8
Lattice="4.678 0.000 0.000 2.339 4.051 0.000 2.339 1.350 7.676" Properties=species:S:1:pos:R:3 pbc="T T T"
Li 4.678 2.701 3.838
Dy 0.000 0.000 0.000
Sc 7.017 4.051 5.559
Sc 2.339 1.350 2.116
Pd 4.678 2.701 6.575
Pd 7.017 4.051 2.850
Pd 2.339 1.350 4.826
Pd 4.678 2.701 1.101
```

Results
For the calculated formation energy, the calculation gives -6.263 eV/f.u. The final energy is -46.214 eV for the cell shown.

---

(19)
First-principles (PBE-GGA) data for crystalline SrZr2SnMo at its relaxed geometry, as listed in the Alexandria database.

The structure in extended XYZ format:
```
5
Lattice="-3.452 3.987 1.347 -3.104 -1.235 -4.298 -2.678 -3.291 2.880" Properties=species:S:1:pos:R:3 pbc="T T T"
Sr -4.617 -0.269 -0.035
Mo -1.339 -1.646 1.440
Sn 0.000 0.000 0.000
Zr -1.552 -0.618 -2.149
Zr -1.726 1.994 0.673
```

Results
For the calculated formation energy, the calculation gives 4.975 eV/f.u. The final energy is -28.638 eV for the cell shown.

---

(20)
First-principles (PBE-GGA) data for crystalline Nd2CCl3 at its relaxed geometry, as listed in the Alexandria database.

The structure in extended XYZ format:
```
12
Lattice="-3.204 -1.532 2.110 3.753 -2.769 7.734 -1.592 6.404 6.277" Properties=species:S:1:pos:R:3 pbc="T T T"
Nd -2.173 2.133 10.382
Nd 1.129 -0.030 5.737
Nd -2.048 2.201 6.576
Nd 1.004 -0.097 9.544
C -0.605 1.686 8.394
C -0.439 0.418 7.726
Cl -0.855 4.671 6.138
Cl -0.189 -2.568 9.981
Cl 0.271 -2.730 6.518
Cl -1.315 4.833 9.601
Cl -0.324 0.513 12.013
Cl -0.720 1.590 4.106
```

Results
The final energy is -67.426 eV for the cell shown. The formation energy (no corrections) is -1.5690 eV/atom.